The following is a PBE-GGA calculation of Cs2GaBr4 after structural relaxation, from the Alexandria database.

Lattice parameters (Å, degrees): 5.4633 5.4633 18.3236 90.00 90.00 90.00
Space group I4/mmm (No. 139)
Inequivalent atoms, fractional coordinates:
Cs 0.0000 0.0000 0.1434
Ga 0.0000 0.0000 0.5000
Br 0.0000 0.0000 0.3453
Br 0.0000 0.5000 0.0000

Properties
- DOS(E_F) (states/eV/atom) = 0.31
- total magnetic moment (μB/cell) = 0.0
- calculated density (Mg/m³) = 3.98
- crystal system = tetragonal
- formation energy (no corrections) (meV/atom) = -1323

The following is a PBE-GGA calculation of Y3Zr2Zn2 after structural relaxation, from the Alexandria database.

Lattice parameters (Å, degrees): 4.7536 22.2459 3.2845 90.00 90.00 90.00
Space group Cmmm (No. 65)
Inequivalent atoms, fractional coordinates:
Y 0.0000 0.0000 0.0000
Y 0.0000 0.1452 0.0000
Zr 0.0000 0.2777 0.5000
Zn 0.0000 0.4257 0.5000

Properties
- energy relative to the elements (eV/atom) = 0.0053
- DOS(E_F) (states/eV/atom) = 1.13
- total magnetic moment (μB/cell) = 0.0
- calculated density (Mg/m³) = 5.55
- crystal system = orthorhombic

The following is a PBE-GGA calculation of Mn4TcBr after structural relaxation, from the Alexandria database.

Lattice parameters (Å, degrees): 6.9067 6.9067 6.9067 90.00 90.00 90.00
Space group F-43m (No. 216)
Inequivalent atoms, fractional coordinates:
Mn 0.1241 0.1241 0.1241
Tc 0.2500 0.2500 0.7500
Br 0.0000 0.0000 0.5000

Properties
- DOS(E_F) (states/eV/atom) = 1.24
- total magnetic moment (μB/cell) = 29.1
- calculated density (Mg/m³) = 8.02
- crystal system = cubic
- formation energy (no corrections) (meV/atom) = 786

The following is a PBE-GGA calculation of Na6PPt2 after structural relaxation, from the Alexandria database.

Lattice parameters (Å, degrees): 5.0782 5.0782 27.6826 90.00 90.00 120.00
Space group R-3m (No. 166, hexagonal axes)
Inequivalent atoms, fractional coordinates:
Na 0.0000 0.0000 0.0745
Na 0.0000 0.0000 0.1961
Na 0.0000 0.0000 0.3082
P 0.0000 0.0000 0.5000
Pt 0.0000 0.0000 0.4188

Properties
- energy relative to the elements (eV/atom) = -0.2563
- DOS(E_F) (states/eV/atom) = 0.43
- total magnetic moment (μB/cell) = 0.0
- calculated density (Mg/m³) = 4.50
- crystal system = trigonal

The following is a PBE-GGA calculation of NaPmPuPb after structural relaxation, from the Alexandria database.

Lattice parameters (Å, degrees): 7.8040 7.8040 7.8040 90.00 90.00 90.00
Space group F-43m (No. 216)
Inequivalent atoms, fractional coordinates:
Na 0.0000 0.0000 0.0000
Pm 0.2500 0.2500 0.2500
Pu 0.2500 0.2500 0.7500
Pb 0.0000 0.0000 0.5000

Properties
- energy relative to the elements (eV/atom) = 0.0179
- DOS(E_F) (states/eV/atom) = 2.88
- total magnetic moment (μB/cell) = 27.5
- calculated density (Mg/m³) = 8.65
- crystal system = cubic

The following is a PBE-GGA calculation of Tb6Y2Th3 after structural relaxation, from the Alexandria database.

Lattice parameters (Å, degrees): 3.5757 3.5757 95.4731 90.00 90.00 120.00
Space group R-3m (No. 166, hexagonal axes)
Inequivalent atoms, fractional coordinates:
Tb 0.0000 0.0000 0.0900
Tb 0.0000 0.0000 0.1819
Tb 0.0000 0.0000 0.3634
Y 0.0000 0.0000 0.4545
Th 0.0000 0.0000 0.0000
Th 0.0000 0.0000 0.2729

Properties
- energy relative to the elements (eV/atom) = 0.0249
- DOS(E_F) (states/eV/atom) = 1.52
- total magnetic moment (μB/cell) = 0.0
- calculated density (Mg/m³) = 8.61
- crystal system = trigonal

The following is a PBE-GGA calculation of Cu3Si after structural relaxation, from the Alexandria database.

Lattice parameters (Å, degrees): 2.8558 4.3042 8.1517 90.00 90.00 90.00
Space group Cmmm (No. 65)
Inequivalent atoms, fractional coordinates:
Cu 0.0000 0.0000 0.0000
Cu 0.0000 0.5000 0.2522
Si 0.0000 0.0000 0.5000

Properties
- DOS(E_F) (states/eV/atom) = 0.40
- total magnetic moment (μB/cell) = 0.0
- calculated density (Mg/m³) = 7.25
- crystal system = orthorhombic
- formation energy (no corrections) (meV/atom) = 121

The following is a PBE-GGA calculation of Ta2TiGa after structural relaxation, from the Alexandria database.

Lattice parameters (Å, degrees): 2.9653 2.9653 27.9732 90.00 90.00 120.00
Space group R-3m (No. 166, hexagonal axes)
Inequivalent atoms, fractional coordinates:
Ta 0.0000 0.0000 0.2484
Ti 0.0000 0.0000 0.0000
Ga 0.0000 0.0000 0.5000

Properties
- energy relative to the elements (eV/atom) = 0.0251
- DOS(E_F) (states/eV/atom) = 0.60
- total magnetic moment (μB/cell) = 0.0
- calculated density (Mg/m³) = 11.21
- crystal system = trigonal

The following is a PBE-GGA calculation of Li4SiSe2 after structural relaxation, from the Alexandria database.

Lattice parameters (Å, degrees): 4.5619 4.5619 13.6905 90.00 90.00 90.00
Space group I4/mmm (No. 139)
Inequivalent atoms, fractional coordinates:
Li 0.0000 0.0000 0.1919
Li 0.0000 0.5000 0.0000
Si 0.0000 0.0000 0.0000
Se 0.0000 0.0000 0.3757

Properties
- DOS(E_F) (states/eV/atom) = 0.48
- total magnetic moment (μB/cell) = 0.0
- calculated density (Mg/m³) = 2.49
- crystal system = tetragonal
- formation energy (no corrections) (meV/atom) = -235

The following is a PBE-GGA calculation of TiCdIr3 after structural relaxation, from the Alexandria database.

Lattice parameters (Å, degrees): 4.6107 4.6107 4.6107 90.00 90.00 90.00
Space group Pm-3m (No. 221)
Inequivalent atoms, fractional coordinates:
Ti 0.0000 0.0000 0.0000
Cd 0.5000 0.5000 0.5000
Ir 0.0000 0.0000 0.5000

Properties
- energy relative to the elements (eV/atom) = 0.9121
- DOS(E_F) (states/eV/atom) = 1.14
- total magnetic moment (μB/cell) = 0.0
- calculated density (Mg/m³) = 12.48
- crystal system = cubic

The following is a PBE-GGA calculation of BaSiTeW2 after structural relaxation, from the Alexandria database.

Lattice parameters (Å, degrees): 5.2244 5.2244 5.2718 90.00 90.00 90.00
Space group P4/mmm (No. 123)
Inequivalent atoms, fractional coordinates:
Ba 0.0000 0.0000 0.0000
Si 0.0000 0.0000 0.5000
Te 0.5000 0.5000 0.5000
W 0.0000 0.5000 0.0000

Properties
- DOS(E_F) (states/eV/atom) = 1.46
- total magnetic moment (μB/cell) = 2.8
- calculated density (Mg/m³) = 7.62
- crystal system = tetragonal
- formation energy (no corrections) (meV/atom) = 3193

The following is a PBE-GGA calculation of Dy7Al3 after structural relaxation, from the Alexandria database.

Lattice parameters (Å, degrees): 10.2951 10.2951 6.1892 90.00 90.00 120.00
Space group P6_3mc (No. 186)
Inequivalent atoms, fractional coordinates:
Dy 0.0573 0.5286 0.0000
Dy 0.1230 0.2461 0.2444
Dy 0.3333 0.6667 0.4325
Al 0.1942 0.3885 0.7042

Properties
- energy relative to the elements (eV/atom) = -0.1554
- DOS(E_F) (states/eV/atom) = 1.46
- total magnetic moment (μB/cell) = 0.0
- calculated density (Mg/m³) = 7.12
- crystal system = hexagonal

The following is a PBE-GGA calculation of Zn2TePt after structural relaxation, from the Alexandria database.

Lattice parameters (Å, degrees): 5.5118 7.1012 3.7665 90.00 90.00 90.00
Space group Cmmm (No. 65)
Inequivalent atoms, fractional coordinates:
Zn 0.2500 0.2500 0.0000
Te 0.0000 0.0000 0.5000
Pt 0.0000 0.5000 0.5000

Properties
- DOS(E_F) (states/eV/atom) = 0.35
- total magnetic moment (μB/cell) = 0.0
- calculated density (Mg/m³) = 10.22
- crystal system = orthorhombic
- formation energy (no corrections) (meV/atom) = 11

The following is a PBE-GGA calculation of ZnHg2I after structural relaxation, from the Alexandria database.

Lattice parameters (Å, degrees): 8.2269 8.2269 6.9492 90.00 90.00 90.00
Space group I-42d (No. 122)
Inequivalent atoms, fractional coordinates:
Zn 0.0000 0.0000 0.0000
Hg 0.1920 0.7500 0.1250
I 0.0000 0.0000 0.5000

Properties
- DOS(E_F) (states/eV/atom) = 0.16
- total magnetic moment (μB/cell) = 0.0
- calculated density (Mg/m³) = 8.38
- crystal system = tetragonal
- formation energy (no corrections) (meV/atom) = -29

The following is a PBE-GGA calculation of Na2CuC2O6 after structural relaxation, from the Alexandria database.

Lattice parameters (Å, degrees): 10.3789 4.8788 5.8904 90.00 119.14 90.00
Space group C2/m (No. 12)
Inequivalent atoms, fractional coordinates:
Na 0.2016 0.0000 0.1930
Cu 0.0000 0.0000 0.5000
C 0.0054 0.5000 0.2625
O 0.0724 0.2731 0.7776
O 0.1412 0.5000 0.3324

Properties
- DOS(E_F) (states/eV/atom) = 0.12
- total magnetic moment (μB/cell) = 0.4
- calculated density (Mg/m³) = 2.93
- crystal system = monoclinic
- formation energy (no corrections) (meV/atom) = -1406

The following is a PBE-GGA calculation of Na2ZrPb3S6 after structural relaxation, from the Alexandria database.

Lattice parameters (Å, degrees): 7.1351 12.3135 7.0514 90.00 109.06 90.00
Space group C2/m (No. 12)
Inequivalent atoms, fractional coordinates:
Na 0.0000 0.1681 0.0000
Zr 0.0000 0.5000 0.0000
Pb 0.0000 0.0000 0.5000
Pb 0.0000 0.3349 0.5000
S 0.2232 0.5000 0.7624
S 0.2255 0.3508 0.2217

Properties
- DOS(E_F) (states/eV/atom) = 0.00
- total magnetic moment (μB/cell) = 0.0
- calculated density (Mg/m³) = 5.39
- crystal system = monoclinic
- formation energy (no corrections) (meV/atom) = -966

The following is a PBE-GGA calculation of TbYTmSc after structural relaxation, from the Alexandria database.

Lattice parameters (Å, degrees): 4.9256 4.9256 9.7538 90.00 90.00 90.00
Space group I-4m2 (No. 119)
Inequivalent atoms, fractional coordinates:
Tb 0.0000 0.0000 0.0000
Y 0.0000 0.5000 0.2500
Tm 0.0000 0.5000 0.7500
Sc 0.0000 0.0000 0.5000

Properties
- energy relative to the elements (eV/atom) = 0.0471
- DOS(E_F) (states/eV/atom) = 1.62
- total magnetic moment (μB/cell) = 0.0
- calculated density (Mg/m³) = 6.48
- crystal system = tetragonal

The following is a PBE-GGA calculation of Sr2MnSi3Au12 after structural relaxation, from the Alexandria database.

Lattice parameters (Å, degrees): 8.8873 8.8873 19.0694 90.00 90.00 120.00
Space group R-3m (No. 166, hexagonal axes)
Inequivalent atoms, fractional coordinates:
Sr 0.0000 0.0000 0.1058
Mn 0.0000 0.0000 0.5000
Si 0.0000 0.5000 0.0000
Au 0.0057 0.5028 0.1277
Au 0.0319 0.5160 0.3389

Properties
- DOS(E_F) (states/eV/atom) = 0.33
- total magnetic moment (μB/cell) = 14.6
- calculated density (Mg/m³) = 10.23
- crystal system = trigonal
- formation energy (no corrections) (meV/atom) = -82

The following is a PBE-GGA calculation of Be2NiRu after structural relaxation, from the Alexandria database.

Lattice parameters (Å, degrees): 2.7510 3.5448 4.3499 90.00 108.21 90.00
Space group Pm (No. 6)
Inequivalent atoms, fractional coordinates:
Be 0.0000 0.0000 0.0000
Be 0.1562 0.5000 0.3169
Ni 0.7203 0.0000 0.4458
Ru 0.4318 0.5000 0.8605

Properties
- energy relative to the elements (eV/atom) = -0.2428
- DOS(E_F) (states/eV/atom) = 1.12
- total magnetic moment (μB/cell) = 0.0
- calculated density (Mg/m³) = 7.33
- crystal system = monoclinic

The following is a PBE-GGA calculation of LiDy3Au4 after structural relaxation, from the Alexandria database.

Lattice parameters (Å, degrees): 4.9927 4.9927 24.4991 90.00 90.00 120.00
Space group R-3m (No. 166, hexagonal axes)
Inequivalent atoms, fractional coordinates:
Li 0.0000 0.0000 0.0000
Dy 0.0000 0.0000 0.2563
Dy 0.0000 0.0000 0.5000
Au 0.0000 0.0000 0.1281
Au 0.0000 0.0000 0.3782

Properties
- energy relative to the elements (eV/atom) = -0.7842
- DOS(E_F) (states/eV/atom) = 0.57
- total magnetic moment (μB/cell) = 0.0
- calculated density (Mg/m³) = 12.08
- crystal system = trigonal

The following is a PBE-GGA calculation of ZrFeN after structural relaxation, from the Alexandria database.

Lattice parameters (Å, degrees): 5.6319 3.2771 4.4120 90.00 114.94 90.00
Space group Cm (No. 8)
Inequivalent atoms, fractional coordinates:
Zr 0.0000 0.0000 0.0000
Fe 0.0027 0.5000 0.5043
N 0.2073 0.0000 0.6219

Properties
- DOS(E_F) (states/eV/atom) = 0.82
- total magnetic moment (μB/cell) = 2.0
- calculated density (Mg/m³) = 7.25
- crystal system = monoclinic
- formation energy (no corrections) (meV/atom) = -549

The following is a PBE-GGA calculation of Pr2CdSn4 after structural relaxation, from the Alexandria database.

Lattice parameters (Å, degrees): 4.5805 4.5805 9.6916 90.00 90.00 90.00
Space group P-4m2 (No. 115)
Inequivalent atoms, fractional coordinates:
Pr 0.0000 0.5000 0.2373
Cd 0.5000 0.5000 0.0000
Sn 0.0000 0.0000 0.5000
Sn 0.0000 0.5000 0.8074
Sn 0.5000 0.5000 0.5000

Properties
- energy relative to the elements (eV/atom) = -0.4212
- DOS(E_F) (states/eV/atom) = 0.67
- total magnetic moment (μB/cell) = 0.0
- calculated density (Mg/m³) = 7.10
- crystal system = tetragonal

The following is a PBE-GGA calculation of KIrAu after structural relaxation, from the Alexandria database.

Lattice parameters (Å, degrees): 11.8345 4.6203 5.3830 90.00 90.69 90.00
Space group Cm (No. 8)
Inequivalent atoms, fractional coordinates:
K 0.0000 0.0000 0.0000
K 0.0146 0.5000 0.4900
Ir 0.2562 0.0000 0.3304
Ir 0.2717 0.5000 0.5379
Au 0.2283 0.5000 0.0518
Au 0.2822 0.0000 0.8197

Properties
- energy relative to the elements (eV/atom) = 0.1205
- DOS(E_F) (states/eV/atom) = 0.57
- total magnetic moment (μB/cell) = 0.0
- calculated density (Mg/m³) = 9.67
- crystal system = monoclinic

The following is a PBE-GGA calculation of SmZn4Pt after structural relaxation, from the Alexandria database.

Lattice parameters (Å, degrees): 7.4150 7.4150 7.4150 90.00 90.00 90.00
Space group F-43m (No. 216)
Inequivalent atoms, fractional coordinates:
Sm 0.0000 0.0000 0.0000
Zn 0.1239 0.1239 0.3761
Pt 0.2500 0.2500 0.7500

Properties
- energy relative to the elements (eV/atom) = -0.3713
- DOS(E_F) (states/eV/atom) = 0.76
- total magnetic moment (μB/cell) = 0.0
- calculated density (Mg/m³) = 9.89
- crystal system = cubic